Er5Th3 | PBE-GGA | relaxed

calculated total energy = -5.608 eV/atom
formation energy from the elements = 0.21 eV per formula unit

```
data_Er5Th3
_cell_length_a 3.5510
_cell_length_b 3.5510
_cell_length_c 19.9226
_cell_angle_alpha 90.00
_cell_angle_beta 90.00
_cell_angle_gamma 90.00
_symmetry_space_group_name_H-M 'P 4/m m m'
_symmetry_Int_Tables_number 123
_symmetry_space_group_name_Hall '-P 4 2'
loop_
_atom_site_label
_atom_site_type_symbol
_atom_site_fract_x
_atom_site_fract_y
_atom_site_fract_z
Er1 Er 0.0000 0.0000 0.0000
Er2 Er 0.0000 0.0000 0.2480
Er3 Er 0.5000 0.5000 0.3788
Th1 Th 0.0000 0.0000 0.5000
Th2 Th 0.5000 0.5000 0.1259
```


Ac2Tm3Hg4 | PBE-GGA | relaxed

calculated total energy = -2.897 eV/atom
formation energy from the elements = -3.23 eV per formula unit

```
data_Ac2Tm3Hg4
_cell_length_a 7.1229
_cell_length_b 17.9660
_cell_length_c 8.4095
_cell_angle_alpha 90.00
_cell_angle_beta 90.00
_cell_angle_gamma 90.00
_symmetry_space_group_name_H-M 'C m c e'
_symmetry_Int_Tables_number 64
_symmetry_space_group_name_Hall '-C 2ac 2'
loop_
_atom_site_label
_atom_site_type_symbol
_atom_site_fract_x
_atom_site_fract_y
_atom_site_fract_z
Ac1 Ac 0.0000 0.0990 0.0930
Tm1 Tm 0.0000 0.0000 0.5000
Tm2 Tm 0.2500 0.2340 0.7500
Hg1 Hg 0.0000 0.1734 0.4725
Hg2 Hg 0.2500 0.0633 0.7500
```


AlHgW2 | PBE-GGA | relaxed

calculated total energy = -7.007 eV/atom
formation energy from the elements = 1.92 eV per formula unit

```
data_AlHgW2
_cell_length_a 3.2267
_cell_length_b 4.5090
_cell_length_c 9.2609
_cell_angle_alpha 90.00
_cell_angle_beta 90.00
_cell_angle_gamma 90.00
_symmetry_space_group_name_H-M 'I m m m'
_symmetry_Int_Tables_number 71
_symmetry_space_group_name_Hall '-I 2 2'
loop_
_atom_site_label
_atom_site_type_symbol
_atom_site_fract_x
_atom_site_fract_y
_atom_site_fract_z
Al1 Al 0.0000 0.0000 0.0000
Hg1 Hg 0.0000 0.0000 0.5000
W1 W 0.0000 0.5000 0.2584
```


MnFe2Ni | PBE-GGA | relaxed

calculated total energy = -7.917 eV/atom
formation energy from the elements = 0.21 eV per formula unit

```
data_MnFe2Ni
_cell_length_a 2.4853
_cell_length_b 3.5790
_cell_length_c 4.9717
_cell_angle_alpha 90.00
_cell_angle_beta 90.00
_cell_angle_gamma 90.00
_symmetry_space_group_name_H-M 'P m m 2'
_symmetry_Int_Tables_number 25
_symmetry_space_group_name_Hall 'P 2 -2'
loop_
_atom_site_label
_atom_site_type_symbol
_atom_site_fract_x
_atom_site_fract_y
_atom_site_fract_z
Mn1 Mn 0.0000 0.0000 0.0000
Fe1 Fe 0.0000 0.0000 0.5034
Fe2 Fe 0.5000 0.5000 0.7565
Ni1 Ni 0.5000 0.5000 0.2585
```


TmP | PBE-GGA | relaxed

calculated total energy = -6.547 eV/atom
formation energy from the elements = -3.21 eV per formula unit

```
data_TmP
_cell_length_a 5.5823
_cell_length_b 5.5823
_cell_length_c 5.5823
_cell_angle_alpha 90.00
_cell_angle_beta 90.00
_cell_angle_gamma 90.00
_symmetry_space_group_name_H-M 'F m -3 m'
_symmetry_Int_Tables_number 225
_symmetry_space_group_name_Hall '-F 4 2 3'
loop_
_atom_site_label
_atom_site_type_symbol
_atom_site_fract_x
_atom_site_fract_y
_atom_site_fract_z
Tm1 Tm 0.0000 0.0000 0.0000
P1 P 0.0000 0.0000 0.5000
```


CaSmMg | PBE-GGA | relaxed

calculated total energy = -2.817 eV/atom
formation energy from the elements = -0.14 eV per formula unit

```
data_CaSmMg
_cell_length_a 3.8190
_cell_length_b 3.8190
_cell_length_c 13.3495
_cell_angle_alpha 90.00
_cell_angle_beta 90.00
_cell_angle_gamma 90.00
_symmetry_space_group_name_H-M 'P 4/n m m'
_symmetry_Int_Tables_number 129
loop_
_symmetry_equiv_pos_as_xyz
'x,y,z'
'-x,-y,-z'
'-y+1/2,x,z'
'y+1/2,-x,-z'
'-x+1/2,-y+1/2,z'
'x+1/2,y+1/2,-z'
'y,-x+1/2,z'
'-y,x+1/2,-z'
'x+1/2,-y,-z'
'-x+1/2,y,z'
'-y,-x,-z'
'y,x,z'
'-x,y+1/2,-z'
'x,-y+1/2,z'
'y+1/2,x+1/2,-z'
'-y+1/2,-x+1/2,z'
loop_
_atom_site_label
_atom_site_type_symbol
_atom_site_fract_x
_atom_site_fract_y
_atom_site_fract_z
Ca1 Ca 0.2500 0.2500 0.1069
Sm1 Sm 0.2500 0.2500 0.4119
Mg1 Mg 0.2500 0.2500 0.7372
```


Li2SmOsN4 | PBE-GGA | relaxed

calculated total energy = -7.115 eV/atom
ΔE_f (raw) = -0.480 eV per atom

```
data_Li2SmOsN4
_cell_length_a 5.4793
_cell_length_b 5.4793
_cell_length_c 6.5336
_cell_angle_alpha 90.00
_cell_angle_beta 90.00
_cell_angle_gamma 90.00
_symmetry_space_group_name_H-M 'I -4 2 m'
_symmetry_Int_Tables_number 121
_symmetry_space_group_name_Hall 'I -4 2'
loop_
_atom_site_label
_atom_site_type_symbol
_atom_site_fract_x
_atom_site_fract_y
_atom_site_fract_z
Li1 Li 0.0000 0.5000 0.2500
Sm1 Sm 0.0000 0.0000 0.0000
Os1 Os 0.0000 0.0000 0.5000
N1 N 0.1957 0.1957 0.3424
```


CrIr2Rh | PBE-GGA | relaxed

calculated total energy = -8.792 eV/atom
formation energy from the elements = -0.47 eV per formula unit

```
data_CrIr2Rh
_cell_length_a 4.6595
_cell_length_b 2.7233
_cell_length_c 4.6626
_cell_angle_alpha 90.00
_cell_angle_beta 109.07
_cell_angle_gamma 90.00
_symmetry_space_group_name_H-M 'P 1 2/m 1'
_symmetry_Int_Tables_number 10
_symmetry_space_group_name_Hall '-P 2y'
loop_
_atom_site_label
_atom_site_type_symbol
_atom_site_fract_x
_atom_site_fract_y
_atom_site_fract_z
Cr1 Cr 0.0000 0.0000 0.0000
Ir1 Ir 0.5000 0.0000 0.5000
Ir2 Ir 0.5000 0.5000 0.0000
Rh1 Rh 0.0000 0.5000 0.5000
```


LaPmPaGe | PBE-GGA | relaxed

calculated total energy = -5.813 eV/atom
formation energy from the elements = 0.54 eV per formula unit

```
data_LaPmPaGe
_cell_length_a 7.5560
_cell_length_b 7.5560
_cell_length_c 7.5560
_cell_angle_alpha 90.00
_cell_angle_beta 90.00
_cell_angle_gamma 90.00
_symmetry_space_group_name_H-M 'F -4 3 m'
_symmetry_Int_Tables_number 216
_symmetry_space_group_name_Hall 'F -4 2 3'
loop_
_atom_site_label
_atom_site_type_symbol
_atom_site_fract_x
_atom_site_fract_y
_atom_site_fract_z
La1 La 0.0000 0.0000 0.0000
Pm1 Pm 0.0000 0.0000 0.5000
Pa1 Pa 0.2500 0.2500 0.2500
Ge1 Ge 0.2500 0.2500 0.7500
```


K3TbPm2S6 | PBE-GGA | relaxed

calculated total energy = -5.386 eV/atom
ΔE_f (raw) = -1.870 eV per atom

```
data_K3TbPm2S6
_cell_length_a 7.1606
_cell_length_b 12.4019
_cell_length_c 7.7640
_cell_angle_alpha 90.00
_cell_angle_beta 107.91
_cell_angle_gamma 90.00
_symmetry_space_group_name_H-M 'C 1 2/m 1'
_symmetry_Int_Tables_number 12
_symmetry_space_group_name_Hall '-C 2y'
loop_
_atom_site_label
_atom_site_type_symbol
_atom_site_fract_x
_atom_site_fract_y
_atom_site_fract_z
K1 K 0.0000 0.0000 0.0000
K2 K 0.0000 0.3328 0.0000
Tb1 Tb 0.0000 0.5000 0.5000
Pm1 Pm 0.0000 0.1666 0.5000
S1 S 0.2323 0.3360 0.7050
S2 S 0.2404 0.0000 0.7049
```


LaOs2Rh | PBE-GGA | relaxed

calculated total energy = -8.061 eV/atom
formation energy from the elements = 2.49 eV per formula unit

```
data_LaOs2Rh
_cell_length_a 2.8178
_cell_length_b 2.8178
_cell_length_c 29.9694
_cell_angle_alpha 90.00
_cell_angle_beta 90.00
_cell_angle_gamma 120.00
_symmetry_space_group_name_H-M 'R -3 m'
_symmetry_Int_Tables_number 166
_symmetry_space_group_name_Hall '-R 3 2"'
loop_
_atom_site_label
_atom_site_type_symbol
_atom_site_fract_x
_atom_site_fract_y
_atom_site_fract_z
La1 La 0.0000 0.0000 0.0000
Os1 Os 0.0000 0.0000 0.2390
Rh1 Rh 0.0000 0.0000 0.5000
```


BaLiNpS3 | PBE-GGA | relaxed

calculated total energy = -6.458 eV/atom
ΔE_f (raw) = -1.598 eV per atom

```
data_BaLiNpS3
_cell_length_a 8.5727
_cell_length_b 4.1143
_cell_length_c 8.9362
_cell_angle_alpha 90.00
_cell_angle_beta 104.78
_cell_angle_gamma 90.00
_symmetry_space_group_name_H-M 'P 1 21/m 1'
_symmetry_Int_Tables_number 11
_symmetry_space_group_name_Hall '-P 2yb'
loop_
_atom_site_label
_atom_site_type_symbol
_atom_site_fract_x
_atom_site_fract_y
_atom_site_fract_z
Ba1 Ba 0.1932 0.2500 0.2396
Li1 Li 0.0856 0.2500 0.5901
Np1 Np 0.3308 0.7500 0.8420
S1 S 0.1176 0.2500 0.8645
S2 S 0.2036 0.7500 0.5241
S3 S 0.4510 0.7500 0.1599
```